Entry 1:
Here is a geometry-optimized RbNaTeCl6 structure from Alexandria. Energies are from GGA-PBE.

Geometry as POSCAR:
```
RbNaTeCl6
1.0
7.135 0.000 0.000
-3.568 6.179 0.000
0.000 0.000 7.154
Rb Na Te Cl
1 1 1 6
Cartesian
0.000 0.000 0.000
0.000 4.120 3.577
3.568 2.060 3.577
2.641 0.177 5.068
1.474 2.199 2.086
4.494 0.177 2.086
2.401 3.803 5.068
5.661 2.199 5.068
4.735 3.803 2.086
```

Calculated values
ΔE_f (raw), meV per atom: -1206.5
Spin magnetization, μB/f.u.: 0.00

Entry 2:
Here is a geometry-optimized SrZnAsI2 structure from Alexandria. Energies are from GGA-PBE.

Geometry as POSCAR:
```
SrZnAsI2
1.0
6.337 0.000 0.000
0.000 6.337 0.000
0.000 0.000 7.024
Sr Zn As I
1 1 1 2
Cartesian
0.000 0.000 0.000
0.000 0.000 3.512
3.169 3.169 3.512
0.000 3.169 0.000
3.169 0.000 0.000
```

Calculated values
ΔE_f (raw), meV per atom: -69.3
Spin magnetization, μB/f.u.: 3.00

Entry 3:
Here is a geometry-optimized NdEr2ThSc4 structure from Alexandria. Energies are from GGA-PBE.

Geometry as POSCAR:
```
NdEr2ThSc4
1.0
4.979 0.000 0.000
0.000 4.979 0.000
0.000 0.000 9.078
Nd Er Th Sc
1 2 1 4
Cartesian
0.000 0.000 0.000
0.000 0.000 4.539
2.489 2.489 0.000
2.489 2.489 4.539
0.000 2.489 2.305
0.000 2.489 6.772
2.489 0.000 2.305
2.489 0.000 6.772
```

Calculated values
Spin magnetization, μB/f.u.: 0.00
ΔH_f (0 K), meV per atom: 41

Entry 4:
Here is a geometry-optimized PmHo3Tm2Sb6 structure from Alexandria. Energies are from GGA-PBE.

Geometry as POSCAR:
```
PmHo3Tm2Sb6
1.0
9.542 -2.190 0.000
9.542 2.190 0.000
-2.005 0.000 8.525
Pm Ho Tm Sb
1 3 2 6
Cartesian
0.000 0.000 0.000
-1.002 0.000 4.263
6.049 0.000 1.433
11.031 0.000 7.093
5.011 0.000 5.683
12.069 0.000 2.843
2.023 0.000 4.957
3.056 0.000 0.731
8.028 0.000 6.340
9.052 0.000 2.186
14.024 0.000 7.794
15.057 0.000 3.568
```

Calculated values
ΔE_f (raw), meV per atom: -1106.7
Spin magnetization, μB/f.u.: 0.00